The following is a PBE calculation of a geometry-optimized MgZn2 structure, from Alexandria via LeMat-Bulk.

Properties
volume	105	Å³/cell
ΔH_f (0 K)	0.0075	eV/atom

Cell: 3.0708 3.0708 12.8891 Å, 90.00 90.00 120.00°
Closest atoms and distances in Å follow each position.
Fractional coordinates of all 6 atoms:
1 Mg 0.3333 0.6667 0.7500  6 Zn 2.85, 6 Mg 3.07
2 Mg 0.6667 0.3333 0.2500  6 Zn 2.85, 6 Mg 3.07
3 Zn 0.6667 0.3333 0.9229  3 Zn 2.66, 3 Mg 2.85
4 Zn 0.6667 0.3333 0.5771  3 Zn 2.66, 3 Mg 2.85
5 Zn 0.3333 0.6667 0.4229  3 Zn 2.66, 3 Mg 2.85
6 Zn 0.3333 0.6667 0.0771  3 Zn 2.66, 3 Mg 2.85

=====

The following is a PBE calculation of a geometry-optimized MgZn2 structure, from Alexandria via LeMat-Bulk.

Properties
volume	113	Å³/cell
ΔH_f (0 K)	0.0468	eV/atom

Cell: 8.9098 8.9098 8.9098 Å, 156.40 156.40 33.63°
Closest atoms and distances in Å follow each position.
Fractional coordinates of all 6 atoms:
1 Mg 0.7500 0.2500 0.5000  8 Zn 2.88
2 Mg 0.0000 0.0000 0.0000  8 Zn 2.88
3 Zn 0.4249 0.4249 0.0000  3 Zn 2.49-2.56
4 Zn 0.5751 0.5751 0.0000  3 Zn 2.49-2.56
5 Zn 0.1749 0.6749 0.5000  3 Zn 2.49-2.56
6 Zn 0.3251 0.8251 0.5000  3 Zn 2.49-2.56

=====

The following is a PBE calculation of a geometry-optimized MgZn structure, from Alexandria via LeMat-Bulk.

Properties
volume	75	Å³/cell
ΔH_f (0 K)	-0.0028	eV/atom

Cell: 3.1283 3.1283 8.8714 Å, 90.00 90.00 120.00°
Closest atoms and distances in Å follow each position.
Fractional coordinates of all 4 atoms:
1 Zn 0.3333 0.6667 0.2500  6 Mg 2.86, 6 Zn 3.13
2 Zn 0.6667 0.3333 0.7500  6 Mg 2.86, 6 Zn 3.13
3 Mg 0.0000 0.0000 0.0000  6 Zn 2.86, 6 Mg 3.13
4 Mg 0.0000 0.0000 0.5000  6 Zn 2.86, 6 Mg 3.13

=====

Number 1: DOS at the Fermi energy 1.1 states/eV per cell. Number 2: DOS at the Fermi energy 2.0 states/eV per cell. Number 3: DOS at the Fermi energy 1.3 states/eV per cell.